HgPdS3: optimized geometry, GGA-PBEsol.

Summary:
Final energy = -0.12770 Ha/atom
Spin magnetization = 0.006 μB/cell
Calculated volume = 100.3 Å³ per cell

a b c (Å): 4.6465 4.6465 4.6465
angles (deg): 90.00 90.00 90.00
Last column: nearest neighbours and their distance in Å.
Space group Pm-3m (No. 221)
One atom of each set of equivalent atoms:
Hg  0.0000  0.0000  0.0000  12 S 3.29
Pd  0.5000  0.5000  0.5000  6 S 2.32
S  0.0000  0.5000  0.5000  2 Pd 2.32